Entry 1:
Compound: TiNb2Co
Source: Alexandria via LeMat-Bulk
Functional: PBE
Structure: relaxed

Unit cell a=7.1825 b=7.1825 c=5.7117 alpha=51.04 beta=51.04 gamma=90.00
Fractional coordinates of all 8 atoms:
Nb1 0.6605 0.1250 0.2500
Nb2 0.0895 0.6250 0.2500
Nb3 0.3750 0.3395 0.7500
Nb4 0.8750 0.9105 0.7500
Co1 0.0000 0.0000 0.0000
Co2 0.7500 0.2500 0.5000
Ti1 0.5000 0.5000 0.0000
Ti2 0.2500 0.7500 0.5000

ΔH_f (0 K), eV/atom: 0.285
Calculated total energy, eV per atom: -8.500

***

Entry 2:
Compound: LiAcAlHg2
Source: Alexandria via LeMat-Bulk
Functional: PBE
Structure: relaxed

Unit cell a=4.6114 b=4.6114 c=6.6081 alpha=110.42 beta=110.42 gamma=90.00
Fractional coordinates of all 5 atoms:
Li1 0.2500 0.7500 0.5000
Ac1 0.0000 0.0000 0.0000
Al1 0.7500 0.2500 0.5000
Hg1 0.6273 0.6273 0.2546
Hg2 0.3727 0.3727 0.7454

ΔH_f (0 K), eV/atom: -0.379
Calculated total energy, eV per atom: -2.453

***

Entry 3:
Compound: TaMo
Source: Alexandria via LeMat-Bulk
Functional: PBE
Structure: relaxed

Unit cell a=2.8218 b=2.8218 c=13.6323 alpha=90.00 beta=90.00 gamma=110.15
Fractional coordinates of all 6 atoms:
Ta1 0.5000 0.5000 0.6754
Ta2 0.0000 0.0000 0.5000
Ta3 0.5000 0.5000 0.3246
Mo1 0.0000 0.0000 0.1588
Mo2 0.5000 0.5000 0.0000
Mo3 0.0000 0.0000 0.8412

ΔH_f (0 K), eV/atom: -0.060
Calculated total energy, eV per atom: -11.402

***

Entry 4:
Compound: LiAg2Au8
Source: Alexandria via LeMat-Bulk
Functional: PBE
Structure: relaxed

Unit cell a=4.1412 b=6.5550 c=7.6890 alpha=104.63 beta=105.62 gamma=90.00
Fractional coordinates of all 11 atoms:
Li1 0.5000 0.0000 0.0000
Ag1 0.2257 0.6335 0.4514
Ag2 0.7743 0.3664 0.5486
Au1 0.5897 0.4444 0.1794
Au2 0.3200 0.0889 0.6400
Au3 0.1332 0.1754 0.2665
Au4 0.0456 0.7305 0.0912
Au5 0.8668 0.8246 0.7335
Au6 0.6800 0.9111 0.3600
Au7 0.4103 0.5556 0.8206
Au8 0.9544 0.2695 0.9088

ΔH_f (0 K), eV/atom: -0.147
Calculated total energy, eV per atom: -3.223